# Pr2NdOsO8 | the Alexandria database | PBE | relaxed
data_Pr2NdOsO8
_chemical_formula_sum 'Pr2 Nd1 Os1 O8'
_symmetry_space_group_name_H-M 'P 1'
_symmetry_Int_Tables_number 1
_cell_length_a 5.2368
_cell_length_b 5.2368
_cell_length_c 7.0616
_cell_angle_alpha 90.00
_cell_angle_beta 90.00
_cell_angle_gamma 90.15
loop_
_symmetry_equiv_pos_as_xyz
'x,y,z'
loop_
_atom_site_label
_atom_site_type_symbol
_atom_site_fract_x
_atom_site_fract_y
_atom_site_fract_z
_atom_site_occupancy
Pr1 Pr 0.0000 0.0000 0.2488 1
Pr2 Pr 0.0000 0.0000 0.7512 1
Nd1 Nd 0.5000 0.5000 0.5000 1
Os1 Os 0.5000 0.5000 0.0000 1
O1 O 0.1909 0.8091 0.5000 1
O2 O 0.2490 0.7510 0.0000 1
O3 O 0.3219 0.3219 0.2024 1
O4 O 0.3219 0.3219 0.7976 1
O5 O 0.6781 0.6781 0.2024 1
O6 O 0.6781 0.6781 0.7976 1
O7 O 0.7510 0.2490 0.0000 1
O8 O 0.8091 0.1909 0.5000 1
# **Total DFT energy (no corrections)**: -7.821 eV per atom
# **Magnetization**: 0.09 μB per atom
# **Formation energy without anion corrections**: -28.63 eV per formula unit